Entry 1:
CsSr2HoI8, relaxed, DFT PBE-GGA; energy relative to the elements, uncorrected = -18.3 eV/f.u.; space group = P-1; calculated total energy = -0.1208 Ha/atom
1.0
7.490 0.000 0.000
0.069 7.811 0.000
0.016 0.009 10.303
Cs Sr Ho I
1 2 1 8
direct
0.000 0.000 0.000
0.500 0.500 0.253
0.500 0.500 0.747
0.000 0.000 0.500
0.239 0.842 0.703
0.240 0.843 0.297
0.246 0.323 0.500
0.261 0.394 0.000
0.739 0.606 0.000
0.754 0.677 0.500
0.760 0.157 0.703
0.761 0.158 0.297



Entry 2:
Li3ClF6, relaxed, DFT PBE-GGA; energy relative to the elements, uncorrected = -18.2 eV/f.u.; space group = Cmc2_1; calculated total energy = -0.1361 Ha/atom
1.0
4.063 -5.536 0.000
4.063 5.536 0.000
0.000 0.000 5.338
Li Cl F
6 2 12
direct
0.084 0.916 0.500
0.148 0.343 0.449
0.343 0.148 0.949
0.657 0.852 0.449
0.852 0.657 0.949
0.916 0.084 0.000
0.339 0.661 0.836
0.661 0.339 0.336
0.037 0.629 0.676
0.135 0.208 0.758
0.208 0.135 0.258
0.265 0.735 0.114
0.371 0.963 0.676
0.415 0.585 0.527
0.585 0.415 0.027
0.629 0.037 0.176
0.735 0.265 0.614
0.792 0.865 0.758
0.865 0.792 0.258
0.963 0.371 0.176



Entry 3:
Sc4ZnCo2, relaxed, DFT PBE-GGA; energy of formation from the pure elements = -0.24 eV per atom; space group = Cmcm; calculated total energy = -0.2231 Ha/atom
1.0
2.315 -4.012 0.000
2.315 4.012 0.000
0.000 0.000 13.420
Sc Zn Co
8 2 4
direct
0.000 0.000 0.000
0.000 0.000 0.500
0.333 0.667 0.625
0.333 0.667 0.875
0.334 0.666 0.250
0.666 0.334 0.750
0.667 0.333 0.125
0.667 0.333 0.375
0.001 0.999 0.250
0.999 0.001 0.750
0.334 0.666 0.057
0.334 0.666 0.443
0.666 0.334 0.557
0.666 0.334 0.943



Entry 4:
RbTcAs2Se, relaxed, DFT PBE-GGA; energy relative to the elements, uncorrected = 12.2 eV/f.u.; space group = P4/mmm; distance to the lowest polymorph of the same formula = 2438 meV per atom; calculated total energy = -0.0874 Ha/atom
1.0
5.408 0.000 0.000
0.000 5.408 0.000
0.000 0.000 5.512
Rb Tc As Se
1 1 2 1
direct
0.000 0.000 0.000
0.500 0.500 0.500
0.000 0.500 0.000
0.500 0.000 0.000
0.000 0.000 0.500



Entry 5:
LiTlPt2N, relaxed, DFT PBE-GGA; energy relative to the elements, uncorrected = 7.1 eV/f.u.; space group = P4/mmm; calculated total energy = -0.1290 Ha/atom
1.0
5.179 0.000 0.000
0.000 5.179 0.000
0.000 0.000 4.254
Li Tl Pt N
1 1 2 1
direct
0.000 0.000 0.000
0.500 0.500 0.500
0.000 0.500 0.500
0.500 0.000 0.500
0.500 0.500 0.000



Entry 6:
NaAuN2, relaxed, DFT PBE-GGA; energy relative to the elements, uncorrected = 4.8 eV/f.u.; space group = I-42d; distance to the lowest polymorph of the same formula = 1259 meV per atom; calculated total energy = -0.1508 Ha/atom
1.0
-3.015 3.015 3.280
3.015 -3.015 3.280
3.015 3.015 -3.280
Na Au N
2 2 4
direct
0.000 0.000 0.000
0.750 0.250 0.500
0.250 0.750 0.500
0.500 0.500 0.000
0.195 0.625 0.070
0.375 0.445 0.570
0.555 0.125 0.930
0.875 0.805 0.430



Entry 7:
Y2ScAg6, relaxed, DFT PBE-GGA; energy of formation from the pure elements = -0.24 eV per atom; space group = C2/m; calculated total energy = -0.1573 Ha/atom
1.0
2.627 -7.955 0.000
2.627 7.955 0.000
-2.582 0.000 4.561
Y Sc Ag
2 1 6
direct
0.164 0.836 0.000
0.836 0.164 0.000
0.000 0.000 0.500
0.168 0.493 0.663
0.342 0.342 0.178
0.493 0.168 0.663
0.507 0.832 0.337
0.658 0.658 0.822
0.832 0.507 0.337



Entry 8:
NaCdBiSb, relaxed, DFT PBE-GGA; energy relative to the elements, uncorrected = -0.1 eV/f.u.; space group = F-43m; calculated total energy = -0.0948 Ha/atom
1.0
0.000 3.848 3.848
3.848 0.000 3.848
3.848 3.848 0.000
Na Cd Bi Sb
1 1 1 1
direct
0.000 0.000 0.000
0.750 0.750 0.750
0.500 0.500 0.500
0.250 0.250 0.250



Entry 9:
CaAlZn2Ir, relaxed, DFT PBE-GGA; energy of formation from the pure elements = 0.86 eV per atom; space group = P4/mmm; calculated total energy = -0.0943 Ha/atom
1.0
4.591 0.000 0.000
0.000 4.591 0.000
0.000 0.000 5.532
Ca Al Zn Ir
1 1 2 1
direct
0.000 0.000 0.000
0.000 0.000 0.500
0.000 0.500 0.500
0.500 0.000 0.500
0.500 0.500 0.000



Entry 10:
Zn4MoRh, relaxed, DFT PBE-GGA; energy of formation from the pure elements = 0.05 eV per atom; space group = F-43m; calculated total energy = -0.1409 Ha/atom
1.0
0.000 3.497 3.497
3.497 0.000 3.497
3.497 3.497 0.000
Zn Mo Rh
4 1 1
direct
0.125 0.125 0.125
0.125 0.125 0.625
0.125 0.625 0.125
0.625 0.125 0.125
0.750 0.750 0.750
0.500 0.500 0.500



Entry 11:
ZrTa2Pt, relaxed, DFT PBE-GGA; energy of formation from the pure elements = -0.40 eV per atom; space group = P4mm; calculated total energy = -0.3664 Ha/atom
1.0
3.362 0.000 0.000
0.000 3.362 0.000
0.000 0.000 6.539
Zr Ta Pt
1 2 1
direct
0.000 0.000 0.000
0.000 0.000 0.498
0.500 0.500 0.732
0.500 0.500 0.254



Entry 12:
MnTeRh2, relaxed, DFT PBE-GGA; energy relative to the elements, uncorrected = -0.3 eV/f.u.; space group = Pmmm; calculated total energy = -0.2507 Ha/atom
1.0
3.175 0.000 0.000
0.000 3.504 0.000
0.000 0.000 5.891
Mn Te Rh
1 1 2
direct
0.000 0.000 0.000
0.000 0.000 0.500
0.500 0.500 0.241
0.500 0.500 0.759



Entry 13:
AlCu6Ag, relaxed, DFT PBE-GGA; energy of formation from the pure elements = 0.02 eV per atom; space group = R-3; distance to the lowest polymorph of the same formula = 0 meV per atom; calculated total energy = -0.1423 Ha/atom
1.0
3.560 2.055 2.444
-3.560 2.055 2.444
0.000 -4.111 2.444
Al Cu Ag
1 6 1
direct
0.000 0.000 0.000
0.031 0.752 0.451
0.248 0.549 0.969
0.451 0.031 0.752
0.549 0.969 0.248
0.752 0.451 0.031
0.969 0.248 0.549
0.500 0.500 0.500



Entry 14:
Hf4MnTc3, relaxed, DFT PBE-GGA; energy of formation from the pure elements = -0.39 eV per atom; space group = P4/mmm; calculated total energy = -0.3822 Ha/atom
1.0
3.270 0.000 0.000
0.000 3.270 0.000
0.000 0.000 12.957
Hf Mn Tc
4 1 3
direct
0.000 0.000 0.125
0.000 0.000 0.374
0.000 0.000 0.626
0.000 0.000 0.875
0.500 0.500 0.500
0.500 0.500 0.000
0.500 0.500 0.255
0.500 0.500 0.745



Entry 15:
TbSm2Ir3, relaxed, DFT PBE-GGA; energy of formation from the pure elements = -0.37 eV per atom; space group = Immm; calculated total energy = -0.2627 Ha/atom
1.0
-2.039 2.879 6.095
2.039 -2.879 6.095
2.039 2.879 -6.095
Tb Sm Ir
1 2 3
direct
0.000 0.000 0.000
0.332 0.332 0.000
0.668 0.668 0.000
0.162 0.662 0.500
0.500 0.000 0.500
0.838 0.338 0.500



Entry 16:
Ti4Ga2As, relaxed, DFT PBE-GGA; energy of formation from the pure elements = -0.43 eV per atom; space group = P2_1/m; calculated total energy = -0.2378 Ha/atom
1.0
4.830 0.000 0.000
0.000 5.314 0.000
-1.701 0.000 8.916
Ti Ga As
8 4 2
direct
0.129 0.250 0.114
0.227 0.750 0.446
0.334 0.503 0.727
0.334 0.997 0.727
0.666 0.003 0.273
0.666 0.497 0.273
0.773 0.250 0.554
0.871 0.750 0.886
0.227 0.250 0.429
0.424 0.750 0.995
0.576 0.250 0.005
0.773 0.750 0.571
0.096 0.750 0.172
0.904 0.250 0.828



Entry 17:
HoNiIr2, relaxed, DFT PBE-GGA; energy of formation from the pure elements = -0.43 eV per atom; space group = P-1; calculated total energy = -0.2738 Ha/atom
1.0
5.236 0.000 0.000
1.173 6.467 0.000
2.035 0.696 8.281
Ho Ni Ir
4 4 8
direct
0.000 0.000 0.000
0.000 0.500 0.000
0.244 0.327 0.596
0.756 0.673 0.404
0.196 0.854 0.448
0.497 0.302 0.039
0.503 0.698 0.961
0.804 0.146 0.552
0.130 0.223 0.296
0.332 0.575 0.245
0.347 0.766 0.707
0.480 0.929 0.171
0.520 0.071 0.829
0.653 0.234 0.293
0.668 0.425 0.755
0.870 0.777 0.704



Entry 18:
Dy7Ho2, relaxed, DFT PBE-GGA; energy of formation from the pure elements = 0.02 eV per atom; space group = P-31m; distance to the lowest polymorph of the same formula = 0 meV per atom; calculated total energy = -0.1681 Ha/atom
1.0
6.115 0.000 0.000
-3.057 5.295 0.000
0.000 0.000 8.638
Dy Ho
7 2
direct
0.000 0.000 0.000
0.000 0.333 0.667
0.000 0.667 0.333
0.333 0.000 0.667
0.333 0.333 0.333
0.667 0.000 0.333
0.667 0.667 0.667
0.333 0.667 0.000
0.667 0.333 0.000



Entry 19:
Tb4SmTm15, relaxed, DFT PBE-GGA; energy of formation from the pure elements = 0.02 eV per atom; space group = P4/mmm; calculated total energy = -0.1650 Ha/atom
1.0
4.961 0.000 0.000
0.000 4.961 0.000
0.000 0.000 24.784
Tb Sm Tm
4 1 15
direct
0.000 0.000 0.100
0.000 0.000 0.300
0.000 0.000 0.700
0.000 0.000 0.900
0.000 0.000 0.500
0.000 0.500 0.000
0.000 0.500 0.200
0.000 0.500 0.399
0.000 0.500 0.601
0.000 0.500 0.800
0.500 0.000 0.000
0.500 0.000 0.200
0.500 0.000 0.399
0.500 0.000 0.601
0.500 0.000 0.800
0.500 0.500 0.100
0.500 0.500 0.299
0.500 0.500 0.500
0.500 0.500 0.701
0.500 0.500 0.900



Entry 20:
BaAs3, relaxed, DFT PBE-GGA; energy of formation from the pure elements = -0.39 eV per atom; space group = Cmcm; calculated total energy = -0.1603 Ha/atom
1.0
3.388 -6.876 0.000
3.388 6.876 0.000
0.000 0.000 4.837
Ba As
2 6
direct
0.160 0.840 0.750
0.840 0.160 0.250
0.227 0.424 0.750
0.347 0.653 0.250
0.424 0.227 0.250
0.576 0.773 0.750
0.653 0.347 0.750
0.773 0.576 0.250